# 1
HPd2Pb | Alexandria via LeMat-Bulk | GGA-PBE | optimized geometry; density of states at the Fermi level = 2.2 states/eV per cell; symmetry = No. 160; E = -4.379 eV/atom; crystal system = trigonal
1.0
-2.5562 1.4423 1.3644
-2.6983 0.4786 -1.7222
-4.0402 -5.2577 1.8276
Pb Pd H
1 2 1
Cartesian
-4.6656 -1.7153 0.7504
-2.1711 -0.4409 0.2376
-3.7087 -4.4034 1.5456
-7.4369 -3.7031 1.4986

---

# 2
LaPmPrNd | Alexandria via LeMat-Bulk | GGA-PBE | optimized geometry; ΔE_f = 124 meV per atom; density of states at the Fermi level = 10.4 states/eV per cell; symmetry = No. 216; crystal system = cubic
1.0
5.8808 0.0000 0.0000
2.9404 5.0929 0.0000
2.9404 1.6976 4.8016
Pr Pm La Nd
1 1 1 1
Cartesian
5.8808 3.3953 2.4008
8.8211 5.0929 3.6012
0.0000 0.0000 0.0000
2.9404 1.6976 1.2004

---

# 3
Ac2ReBi | Alexandria via LeMat-Bulk | GGA-PBE | optimized geometry; ΔE_f = 243 meV per atom; density of states at the Fermi level = 4.0 states/eV per cell; symmetry = No. 123; crystal system = tetragonal
1.0
-2.5943 -1.8588 -2.7966
0.5556 -4.6637 2.5843
-4.2057 1.2138 3.0947
Re Ac Bi
1 2 1
Cartesian
-3.1222 -2.6544 1.4412
-2.1028 0.6069 1.5473
0.2778 -2.3319 1.2922
-1.2971 -0.9294 -1.3983

---

# 4
NdZn4CuAu2 | Alexandria via LeMat-Bulk | GGA-PBE | optimized geometry; ΔE_f = -297 meV per atom; density of states at the Fermi level = 3.7 states/eV per cell; symmetry = No. 166; crystal system = trigonal
1.0
-2.1502 -3.1449 -2.1544
0.5843 -4.1964 1.0970
-7.0889 -1.8688 5.3575
Zn Cu Au Nd
4 1 2 1
Cartesian
-2.3986 -4.7749 0.4729
-6.2562 -4.4352 3.8272
-4.4161 -2.1042 3.0335
-4.2387 -7.1059 1.2666
-4.3274 -4.6050 2.1501
-6.3388 -6.9210 3.0927
-2.3160 -2.2891 1.2074
0.0000 0.0000 0.0000